[1]
ScTa2P | PBE | optimized geometry

Cell and atoms, written as extended XYZ:
```
8
Lattice="3.878 0.000 0.000 0.000 3.878 0.000 1.939 1.939 9.888" Properties=species:S:1:pos:R:3 pbc="T T T"
Sc 0.000 0.000 0.000
Sc 3.878 1.939 4.944
P 1.939 1.939 0.000
P 1.939 3.878 4.944
Ta 2.877 0.969 2.472
Ta 1.001 2.908 2.472
Ta 2.908 2.940 7.416
Ta 4.847 4.816 7.416
```

Computed properties:
energy of formation	0.03	eV/atom
calculated volume	18.6	Å³ per atom

---

[2]
Sc2TaP | PBE | optimized geometry

Cell and atoms, written as extended XYZ:
```
4
Lattice="2.915 -4.165 0.000 2.915 4.165 0.000 0.000 0.000 3.026" Properties=species:S:1:pos:R:3 pbc="T T T"
Sc 1.457 -2.082 0.000
Sc 1.457 2.082 0.000
Ta 0.000 0.000 1.513
P 2.915 0.000 1.513
```

Computed properties:
energy of formation	-0.19	eV/atom
calculated volume	18.4	Å³ per atom

---

[3]
ScTaP2 | PBE | optimized geometry

Cell and atoms, written as extended XYZ:
```
4
Lattice="-3.098 -2.248 2.374 0.707 -0.883 4.360 -2.410 2.135 3.150" Properties=species:S:1:pos:R:3 pbc="T T T"
P 0.000 0.000 0.000
P -1.200 -0.249 2.471
Sc -2.400 -0.498 4.942
Ta -3.601 -0.746 7.413
```

Computed properties:
energy of formation	0.12	eV/atom
calculated volume	16.2	Å³ per atom
E above lowest polymorph	1270	meV/atom

---

[4]
ScTa2P | PBE | optimized geometry

Cell and atoms, written as extended XYZ:
```
4
Lattice="-1.198 3.002 -1.603 -2.451 0.804 3.336 3.348 2.348 1.894" Properties=species:S:1:pos:R:3 pbc="T T T"
Sc 0.449 1.576 2.615
Ta 0.000 0.000 0.000
Ta -1.824 1.903 0.866
P 1.075 2.675 0.145
```

Computed properties:
energy of formation	-0.21	eV/atom
calculated volume	17.1	Å³ per atom